(1)
Material: TaCd2Ge
Method: DFT, PBE-GGA
State: relaxed

Calculated values
As for the total energy: -0.149 Ha/atom.

Cell lengths 7.845, 7.845, 5.366 Å; angles 90.00, 90.00, 90.00 degrees
Space group I-42d (No. 122)
Symmetry-distinct sites (fractional):
Ta 0.000 0.000 0.000 (multiplicity 4)
Cd 0.229 0.250 0.625 (multiplicity 8)
Ge 0.000 0.000 0.500 (multiplicity 4)

(2)
Material: TaCdGe3
Method: DFT, PBE-GGA
State: relaxed

Calculated values
As for the total energy: -0.181 Ha/atom.

Cell lengths 5.061, 5.061, 5.061 Å; angles 90.00, 90.00, 90.00 degrees
Space group Pm-3m (No. 221)
Symmetry-distinct sites (fractional):
Ta 0.000 0.000 0.000 (multiplicity 1)
Cd 0.500 0.500 0.500 (multiplicity 1)
Ge 0.000 0.000 0.500 (multiplicity 3)

(3)
Material: TaCd2Ge2
Method: DFT, PBE-GGA
State: relaxed

Calculated values
As for the total energy: -0.158 Ha/atom.

Cell lengths 7.018, 7.018, 4.002 Å; angles 90.00, 90.00, 90.00 degrees
Space group P4/mbm (No. 127)
Symmetry-distinct sites (fractional):
Ta 0.000 0.000 0.000 (multiplicity 2)
Cd 0.162 0.338 0.500 (multiplicity 4)
Ge 0.145 0.645 0.000 (multiplicity 4)

(4)
Material: YTa2CdGe
Method: DFT, PBE-GGA
State: relaxed

Calculated values
As for the total energy: -0.239 Ha/atom.

Cell lengths 4.833, 4.833, 5.234 Å; angles 90.00, 90.00, 90.00 degrees
Space group P4/mmm (No. 123)
Symmetry-distinct sites (fractional):
Y 0.000 0.000 0.000 (multiplicity 1)
Ta 0.000 0.500 0.500 (multiplicity 2)
Cd 0.500 0.500 0.000 (multiplicity 1)
Ge 0.000 0.000 0.500 (multiplicity 1)

(5)
Material: TbCdGe
Method: DFT, PBE-GGA
State: relaxed

Calculated values
As for the total energy: -0.134 Ha/atom.

Cell lengths 3.426, 3.426, 11.929 Å; angles 90.00, 90.00, 90.00 degrees
Space group I4mm (No. 107)
Symmetry-distinct sites (fractional):
Tb 0.000 0.000 0.000 (multiplicity 2)
Cd 0.000 0.000 0.310 (multiplicity 2)
Ge 0.000 0.000 0.660 (multiplicity 2)

(6)
Material: TbCd2Ge
Method: DFT, PBE-GGA
State: relaxed

Calculated values
As for the total energy: -0.117 Ha/atom.

Cell lengths 4.278, 4.278, 4.907 Å; angles 90.00, 90.00, 90.00 degrees
Space group P4/mmm (No. 123)
Symmetry-distinct sites (fractional):
Tb 0.000 0.000 0.000 (multiplicity 1)
Cd 0.000 0.500 0.500 (multiplicity 2)
Ge 0.500 0.500 0.000 (multiplicity 1)

(7)
Material: TbCdGe
Method: DFT, PBE-GGA
State: relaxed

Calculated values
As for the total energy: -0.144 Ha/atom.

Cell lengths 10.754, 4.318, 7.204 Å; angles 90.00, 125.49, 90.00 degrees
Space group C2/m (No. 12)
Symmetry-distinct sites (fractional):
Tb 0.067 0.000 0.326 (multiplicity 4)
Cd 0.161 0.500 0.076 (multiplicity 4)
Ge 0.152 0.500 0.673 (multiplicity 4)

(8)
Material: TbCdGe2
Method: DFT, PBE-GGA
State: relaxed

Calculated values
As for the total energy: -0.151 Ha/atom.

Cell lengths 4.527, 4.527, 4.123 Å; angles 90.00, 90.00, 90.00 degrees
Space group P4/mmm (No. 123)
Symmetry-distinct sites (fractional):
Tb 0.000 0.000 0.000 (multiplicity 1)
Cd 0.500 0.500 0.000 (multiplicity 1)
Ge 0.000 0.500 0.500 (multiplicity 2)

(9)
Material: TbCdGe
Method: DFT, PBE-GGA
State: relaxed

Calculated values
As for the total energy: -0.139 Ha/atom.

Cell lengths 6.671, 6.671, 6.671 Å; angles 90.00, 90.00, 90.00 degrees
Space group F-43m (No. 216)
Symmetry-distinct sites (fractional):
Tb 0.000 0.000 0.000 (multiplicity 4)
Cd 0.000 0.000 0.500 (multiplicity 4)
Ge 0.250 0.250 0.250 (multiplicity 4)

(10)
Material: TbCdGe4
Method: DFT, PBE-GGA
State: relaxed

Calculated values
As for the total energy: -0.153 Ha/atom.

Cell lengths 7.945, 7.945, 7.945 Å; angles 90.00, 90.00, 90.00 degrees
Space group F-43m (No. 216)
Symmetry-distinct sites (fractional):
Tb 0.000 0.000 0.000 (multiplicity 4)
Cd 0.250 0.250 0.750 (multiplicity 4)
Ge 0.125 0.125 0.375 (multiplicity 16)

(11)
Material: TbCdGe
Method: DFT, PBE-GGA
State: relaxed

Calculated values
As for the total energy: -0.141 Ha/atom.

Cell lengths 4.4684, 4.4684, 4.0491 Å; angles 90.00, 90.00, 120.00 degrees
Space group P3m1 (No. 156)
Symmetry-distinct sites (fractional):
Tb 0.0000 0.0000 0.0000 (multiplicity 1)
Cd 0.6667 0.3333 0.5501 (multiplicity 1)
Ge 0.3333 0.6667 0.3815 (multiplicity 1)

(12)
Material: TbCdGe2
Method: DFT, PBE-GGA
State: relaxed

Calculated values
As for the total energy: -0.144 Ha/atom.

Cell lengths 4.5899, 4.5899, 14.6278 Å; angles 90.00, 90.00, 120.00 degrees
Space group R-3m (No. 166, hexagonal axes)
Symmetry-distinct sites (fractional):
Tb 0.0000 0.0000 0.0000 (multiplicity 3)
Cd 0.0000 0.0000 0.5000 (multiplicity 3)
Ge 0.0000 0.0000 0.2357 (multiplicity 6)

(13)
Material: TbCd2Ge
Method: DFT, PBE-GGA
State: relaxed

Calculated values
As for the total energy: -0.092 Ha/atom.

Cell lengths 3.2393, 3.2393, 33.1364 Å; angles 90.00, 90.00, 120.00 degrees
Space group R-3m (No. 166, hexagonal axes)
Symmetry-distinct sites (fractional):
Tb 0.0000 0.0000 0.0000 (multiplicity 3)
Cd 0.0000 0.0000 0.0942 (multiplicity 6)
Ge 0.0000 0.0000 0.5000 (multiplicity 3)

| no. | energy of formation (meV/atom) |
| --- | --- |
| 1 | 522 |
| 2 | 412 |
| 3 | 294 |
| 4 | 648 |
| 5 | -262 |
| 6 | -402 |
| 7 | -541 |
| 8 | -415 |
| 9 | -384 |
| 10 | -157 |
| 11 | -446 |
| 12 | -229 |
| 13 | 255 |